Computed, not measured: a relaxed structure of RbVPb2 at the PBE-GGA level of DFT.

a = 5.4738 Å, b = 5.4738 Å, c = 5.4738 Å
α = 60.00°, β = 60.00°, γ = 60.00°
Closest atoms and distances in Å follow each position.
Fractional positions:
Rb  0.0000  0.0000  0.0000  8 Pb 3.35
V  0.5000  0.5000  0.5000  8 Pb 3.35
Pb  0.2500  0.2500  0.2500  4 V 3.35, 4 Rb 3.35
Pb  0.7500  0.7500  0.7500  4 V 3.35, 4 Rb 3.35

Values from the calculation:
Energy above the most stable polymorph in this dataset (meV/atom): 84.9
ΔH_f (0 K) (eV per formula unit): 2.292

Computed, not measured: a relaxed structure of RbV3Pb at the PBE-GGA level of DFT.

a = 4.6053 Å, b = 4.6053 Å, c = 4.6053 Å
α = 90.00°, β = 90.00°, γ = 90.00°
Closest atoms and distances in Å follow each position.
Fractional positions:
Rb  0.0000  0.0000  0.0000  6 V 2.30
V  0.0000  0.0000  0.5000  2 Rb 2.30
V  0.0000  0.5000  0.0000  2 Rb 2.30
V  0.5000  0.0000  0.0000  2 Rb 2.30
Pb  0.5000  0.5000  0.5000  12 V 3.26

Values from the calculation:
Energy above the most stable polymorph in this dataset (meV/atom): 996.0
ΔH_f (0 K) (eV per formula unit): 12.377

Computed, not measured: a relaxed structure of RbV2Pb at the PBE-GGA level of DFT.

a = 6.9928 Å, b = 6.9928 Å, c = 6.9928 Å
α = 103.71°, β = 103.71°, γ = 121.75°
Closest atoms and distances in Å follow each position.
Fractional positions:
Rb  0.0000  0.0000  0.0000  2 Pb 3.40, 8 V 3.61-3.69
Rb  0.7500  0.2500  0.5000  2 Pb 3.40, 8 V 3.61-3.69
V  0.1952  0.6250  0.0702  2 Pb 2.79
V  0.3750  0.4452  0.5702  2 Pb 2.79
V  0.5548  0.1250  0.9298  2 Pb 2.79
V  0.8750  0.8048  0.4298  2 Pb 2.79
Pb  0.2500  0.7500  0.5000  4 V 2.79
Pb  0.5000  0.5000  0.0000  4 V 2.79

Values from the calculation:
ΔH_f (0 K) (eV per formula unit): 5.203

Computed, not measured: a relaxed structure of RbV3Pb at the PBE-GGA level of DFT.

a = 5.4529 Å, b = 5.4529 Å, c = 5.4529 Å
α = 90.00°, β = 90.00°, γ = 90.00°
Closest atoms and distances in Å follow each position.
Fractional positions:
Rb  0.0000  0.0000  0.0000  12 V 3.86
V  0.0000  0.5000  0.5000  2 Pb 2.73
V  0.5000  0.0000  0.5000  2 Pb 2.73
V  0.5000  0.5000  0.0000  2 Pb 2.73
Pb  0.5000  0.5000  0.5000  6 V 2.73

Values from the calculation:
Energy above the most stable polymorph in this dataset (meV/atom): 0.0
ΔH_f (0 K) (eV per formula unit): 7.397

Number 1: Fermi-level density of states 4.50 states/eV/f.u.. Number 2: Fermi-level density of states 6.26 states/eV/f.u.. Number 3: Fermi-level density of states 6.71 states/eV/f.u.. Number 4: Fermi-level density of states 6.30 states/eV/f.u..